Below is a geometry-optimized TlSnHgBr5 structure, with properties calculated at the PBE level.

Summary:
The value obtained for the magnetization is 0.00 μB/f.u. The total DFT energy (no corrections) comes out at -40.65 eV/cell.

```
TlSnHgBr5
1.0
4.8675 -6.5042 0.0000
4.8675 6.5042 0.0000
-4.2927 0.0000 9.8765
Tl Sn Hg Br
2 2 2 10
Direct
0.1585 0.8415 0.7500
0.8415 0.1585 0.2500
0.5000 0.5000 0.0000
0.5000 0.5000 0.5000
0.1799 0.8201 0.2500
0.8201 0.1799 0.7500
0.1240 0.2357 0.9486
0.1644 0.5844 0.3868
0.2357 0.1240 0.4486
0.4106 0.5894 0.7500
0.4156 0.8356 0.1132
0.5844 0.1644 0.8868
0.5894 0.4106 0.2500
0.7643 0.8760 0.5514
0.8356 0.4156 0.6132
0.8760 0.7643 0.0514
```